(1)
# Sm2DySb | Alexandria via LeMat-Bulk | PBE | relaxed
data_Sm2DySb
_chemical_formula_sum 'Sm6 Dy3 Sb3'
_space_group_name_H-M_alt 'R -3 m'
_space_group_IT_number 166
_space_group_name_Hall '-R 3 2"'
_cell_length_a 4.0470
_cell_length_b 4.0470
_cell_length_c 29.1148
_cell_angle_alpha 90.00
_cell_angle_beta 90.00
_cell_angle_gamma 120.00
loop_
_atom_site_label
_atom_site_type_symbol
_atom_site_fract_x
_atom_site_fract_y
_atom_site_fract_z
Sm1 Sm 0.0000 0.0000 0.2347
Dy1 Dy 0.0000 0.0000 0.0000
Sb1 Sb 0.0000 0.0000 0.5000
# Energy relative to the lowest polymorph listed for this composition in meV per atom: 236.8
# Uncorrected energy in eV per atom: -4.8432
# Uncorrected formation energy in eV/f.u.: -1.21
# Total moment in Bohr magnetons per cell: 3.2
# Crystal system: trigonal
# N(E_F) in states/eV/atom: 1.338

---

(2)
# Sm4DySb2 | Alexandria via LeMat-Bulk | PBE | relaxed
data_Sm4DySb2
_chemical_formula_sum 'Sm8 Dy2 Sb4'
_space_group_name_H-M_alt 'I 4/m m m'
_space_group_IT_number 139
_space_group_name_Hall '-I 4 2'
_cell_length_a 5.358
_cell_length_b 5.358
_cell_length_c 16.815
_cell_angle_alpha 90.00
_cell_angle_beta 90.00
_cell_angle_gamma 90.00
loop_
_atom_site_label
_atom_site_type_symbol
_atom_site_fract_x
_atom_site_fract_y
_atom_site_fract_z
Sm1 Sm 0.000 0.000 0.184
Sm2 Sm 0.000 0.500 0.000
Dy1 Dy 0.000 0.000 0.000
Sb1 Sb 0.000 0.000 0.367
# Uncorrected energy in eV per atom: -4.3905
# Uncorrected formation energy in eV/f.u.: 0.99
# Total moment in Bohr magnetons per cell: 0.0
# Crystal system: tetragonal
# N(E_F) in states/eV/atom: 0.969